The following is a PBE calculation of Pm4In2P after structural relaxation, from the Alexandria database.

a b c (Å): 5.405 5.405 8.699
angles (deg): 108.10 108.10 90.00
Fractional coordinates of all 7 atoms:
P 0.000 0.000 0.000
In 0.621 0.621 0.243
In 0.379 0.379 0.757
Pm 0.823 0.823 0.646
Pm 0.177 0.177 0.354
Pm 0.000 0.500 0.000
Pm 0.500 0.000 0.000

Summary:
The value obtained for the density is 6.12 g cm⁻³. The value obtained for the energy above the lowest structure with this stoichiometry is 0.152 eV per atom. The energy relative to the elements is -53 kJ per mole of atoms. The calculation puts the density of states at the Fermi level at 5.2 states/eV/f.u.